[1]
{"formula": "GeWSe3", "functional": "PBE", "state": "optimized geometry", "cell": [[4.890, 0.000, 0.000], [0.000, 4.890, 0.000], [0.000, 0.000, 4.890]], "species": ["Ge", "W", "Se", "Se", "Se"], "fractional_positions": [[0.000, 0.000, 0.000], [0.500, 0.500, 0.500], [0.000, 0.000, 0.500], [0.000, 0.500, 0.000], [0.500, 0.000, 0.000]], "final_energy_ev_per_cell": -22.0, "raw_formation_energy_ev_per_atom": 1.21, "magnetic_moment_mub_per_cell": 2.87, "e_above_lowest_polymorph_ev_per_fu": 3.90}


[2]
{"formula": "GeWSe2", "functional": "PBE", "state": "optimized geometry", "cell": [[3.437, 0.000, 0.000], [-1.718, 2.976, 0.000], [0.000, 0.000, 24.833]], "species": ["Ge", "Ge", "Ge", "W", "W", "W", "Se", "Se", "Se", "Se", "Se", "Se"], "fractional_positions": [[0.000, 0.000, 0.000], [0.333, 0.667, 0.667], [0.667, 0.333, 0.333], [0.000, 0.000, 0.500], [0.333, 0.667, 0.167], [0.667, 0.333, 0.833], [0.000, 0.000, 0.403], [0.000, 0.000, 0.597], [0.333, 0.667, 0.070], [0.333, 0.667, 0.264], [0.667, 0.333, 0.736], [0.667, 0.333, 0.930]], "final_energy_ev_per_cell": -65.2, "raw_formation_energy_ev_per_atom": 0.70, "magnetic_moment_mub_per_cell": 0.00}


[3]
{"formula": "Ge2W2Se", "functional": "PBE", "state": "optimized geometry", "cell": [[7.163, 0.000, 0.000], [0.000, 7.163, 0.000], [0.000, 0.000, 3.273]], "species": ["Ge", "Ge", "Ge", "Ge", "W", "W", "W", "W", "Se", "Se"], "fractional_positions": [[0.140, 0.360, 0.000], [0.360, 0.860, 0.000], [0.640, 0.140, 0.000], [0.860, 0.640, 0.000], [0.152, 0.652, 0.500], [0.348, 0.152, 0.500], [0.652, 0.848, 0.500], [0.848, 0.348, 0.500], [0.000, 0.000, 0.500], [0.500, 0.500, 0.500]], "final_energy_ev_per_cell": -73.8, "raw_formation_energy_ev_per_atom": 0.35, "magnetic_moment_mub_per_cell": 0.00, "e_above_lowest_polymorph_ev_per_fu": 0.00}


[4]
{"formula": "Ge2W2Se", "functional": "PBE", "state": "optimized geometry", "cell": [[3.540, 0.000, 0.000], [0.000, 3.540, 0.000], [0.000, 0.000, 13.522]], "species": ["Ge", "Ge", "Ge", "Ge", "W", "W", "W", "W", "Se", "Se"], "fractional_positions": [[0.000, 0.500, 0.250], [0.000, 0.500, 0.750], [0.500, 0.000, 0.250], [0.500, 0.000, 0.750], [0.000, 0.000, 0.107], [0.000, 0.000, 0.893], [0.500, 0.500, 0.393], [0.500, 0.500, 0.607], [0.000, 0.000, 0.500], [0.500, 0.500, 0.000]], "final_energy_ev_per_cell": -71.8, "raw_formation_energy_ev_per_atom": 0.54, "magnetic_moment_mub_per_cell": 0.00, "e_above_lowest_polymorph_ev_per_fu": 0.96}


[5]
{"formula": "GeW2Se", "functional": "PBE", "state": "optimized geometry", "cell": [[5.785, 0.000, 0.000], [0.000, 5.785, 0.000], [0.000, 0.000, 11.200]], "species": ["Ge", "Ge", "Ge", "Ge", "W", "W", "W", "W", "W", "W", "W", "W", "Se", "Se", "Se", "Se"], "fractional_positions": [[0.000, 0.000, 0.000], [0.000, 0.500, 0.250], [0.500, 0.000, 0.750], [0.500, 0.500, 0.500], [0.247, 0.250, 0.625], [0.250, 0.747, 0.875], [0.250, 0.753, 0.375], [0.253, 0.250, 0.125], [0.747, 0.750, 0.125], [0.750, 0.247, 0.375], [0.750, 0.253, 0.875], [0.753, 0.750, 0.625], [0.000, 0.000, 0.500], [0.000, 0.500, 0.750], [0.500, 0.000, 0.250], [0.500, 0.500, 0.000]], "final_energy_ev_per_cell": -116.0, "raw_formation_energy_ev_per_atom": 1.25, "magnetic_moment_mub_per_cell": 11.84, "e_above_lowest_polymorph_ev_per_fu": 3.19}


[6]
{"formula": "GeWSe2", "functional": "PBE", "state": "optimized geometry", "cell": [[3.247, 0.000, 0.000], [-1.624, 2.812, 0.000], [0.000, 0.000, 27.627]], "species": ["Ge", "Ge", "Ge", "W", "W", "W", "Se", "Se", "Se", "Se", "Se", "Se"], "fractional_positions": [[0.000, 0.000, 0.000], [0.333, 0.667, 0.667], [0.667, 0.333, 0.333], [0.000, 0.000, 0.500], [0.333, 0.667, 0.167], [0.667, 0.333, 0.833], [0.000, 0.000, 0.103], [0.000, 0.000, 0.897], [0.333, 0.667, 0.564], [0.333, 0.667, 0.770], [0.667, 0.333, 0.230], [0.667, 0.333, 0.436]], "final_energy_ev_per_cell": -73.6, "raw_formation_energy_ev_per_atom": 0.00, "magnetic_moment_mub_per_cell": 0.00}